First-principles (PBE-GGA) data for an optimized crystal structure of Al2Pt8Rh, as listed in the Alexandria database.

## Properties
The formation energy comes out at -0.4684 eV per atom. The value obtained for the total DFT energy (no corrections) is -6.21 eV/atom. Its total moment is 0.00 μB/f.u.

Cell and atoms, written as CIF:
```
data_Al2Pt8Rh
_chemical_formula_sum 'Al4 Pt16 Rh2'
_cell_length_a 14.0671
_cell_length_b 3.9595
_cell_length_c 6.2896
_cell_angle_alpha 90.00
_cell_angle_beta 107.66
_cell_angle_gamma 90.00
_space_group_name_H-M_alt 'C 1 2/m 1'
_space_group_IT_number 12
loop_
_space_group_symop_operation_xyz
'x,y,z'
'-x,-y,-z'
'-x,y,-z'
'x,-y,z'
'x+1/2,y+1/2,z'
'-x+1/2,-y+1/2,-z'
'-x+1/2,y+1/2,-z'
'x+1/2,-y+1/2,z'
loop_
_atom_site_label
_atom_site_type_symbol
_atom_site_fract_x
_atom_site_fract_y
_atom_site_fract_z
Al1 Al 0.2216 0.0000 0.1527
Pt1 Pt 0.0459 0.0000 0.2305
Pt2 Pt 0.0997 0.5000 0.9605
Pt3 Pt 0.1498 0.0000 0.7141
Pt4 Pt 0.1787 0.5000 0.4233
Rh1 Rh 0.0000 0.5000 0.5000
```



First-principles (PBE-GGA) data for an optimized crystal structure of Al2PtRh, as listed in the Alexandria database.

## Properties
The formation energy comes out at -0.7748 eV per atom. The value obtained for the total DFT energy (no corrections) is -5.99 eV/atom. Its total moment is 0.00 μB/f.u.

Cell and atoms, written as CIF:
```
data_Al2PtRh
_chemical_formula_sum 'Al4 Pt2 Rh2'
_cell_length_a 8.1058
_cell_length_b 2.9604
_cell_length_c 5.0376
_cell_angle_alpha 90.00
_cell_angle_beta 102.47
_cell_angle_gamma 90.00
_space_group_name_H-M_alt 'C 1 2/m 1'
_space_group_IT_number 12
loop_
_space_group_symop_operation_xyz
'x,y,z'
'-x,-y,-z'
'-x,y,-z'
'x,-y,z'
'x+1/2,y+1/2,z'
'-x+1/2,-y+1/2,-z'
'-x+1/2,y+1/2,-z'
'x+1/2,-y+1/2,z'
loop_
_atom_site_label
_atom_site_type_symbol
_atom_site_fract_x
_atom_site_fract_y
_atom_site_fract_z
Al1 Al 0.2487 0.0000 0.2453
Pt1 Pt 0.0000 0.0000 0.5000
Rh1 Rh 0.0000 0.5000 0.0000
```



First-principles (PBE-GGA) data for an optimized crystal structure of Al2PtRh, as listed in the Alexandria database.

## Properties
The formation energy comes out at -0.9692 eV per atom. The value obtained for the total DFT energy (no corrections) is -6.19 eV/atom. Its total moment is 0.00 μB/f.u.

Cell and atoms, written as CIF:
```
data_Al2PtRh
_chemical_formula_sum 'Al4 Pt2 Rh2'
_cell_length_a 9.2842
_cell_length_b 2.9442
_cell_length_c 4.3530
_cell_angle_alpha 90.00
_cell_angle_beta 104.77
_cell_angle_gamma 90.00
_space_group_name_H-M_alt 'C 1 m 1'
_space_group_IT_number 8
loop_
_space_group_symop_operation_xyz
'x,y,z'
'x,-y,z'
'x+1/2,y+1/2,z'
'x+1/2,-y+1/2,z'
loop_
_atom_site_label
_atom_site_type_symbol
_atom_site_fract_x
_atom_site_fract_y
_atom_site_fract_z
Al1 Al 0.0000 0.0000 0.0000
Al2 Al 0.2442 0.0000 0.6177
Pt1 Pt 0.0043 0.5000 0.5012
Rh1 Rh 0.2358 0.5000 0.1077
```



First-principles (PBE-GGA) data for an optimized crystal structure of Al2PtRh2, as listed in the Alexandria database.

## Properties
The formation energy comes out at -0.7592 eV per atom. The value obtained for the total DFT energy (no corrections) is -6.40 eV/atom. Its total moment is 0.00 μB/f.u. For the offset from the most stable computed form, the calculation gives 0 meV/atom.

Cell and atoms, written as CIF:
```
data_Al2PtRh2
_chemical_formula_sum 'Al4 Pt2 Rh4'
_cell_length_a 7.0315
_cell_length_b 7.0315
_cell_length_c 2.9104
_cell_angle_alpha 90.00
_cell_angle_beta 90.00
_cell_angle_gamma 90.00
_space_group_name_H-M_alt 'P 4/m b m'
_space_group_IT_number 127
_space_group_name_Hall '-P 4 2ab'
loop_
_atom_site_label
_atom_site_type_symbol
_atom_site_fract_x
_atom_site_fract_y
_atom_site_fract_z
Al1 Al 0.1448 0.3552 0.0000
Pt1 Pt 0.0000 0.0000 0.0000
Rh1 Rh 0.1527 0.6527 0.5000
```



First-principles (PBE-GGA) data for an optimized crystal structure of AlPtRh3, as listed in the Alexandria database.

## Properties
The formation energy comes out at 0.7092 eV per atom. The value obtained for the total DFT energy (no corrections) is -5.66 eV/atom. Its total moment is 2.14 μB/f.u. For the offset from the most stable computed form, the calculation gives 0 meV/atom.

Cell and atoms, written as CIF:
```
data_AlPtRh3
_chemical_formula_sum 'Al1 Pt1 Rh3'
_cell_length_a 4.3979
_cell_length_b 4.3979
_cell_length_c 4.3979
_cell_angle_alpha 90.00
_cell_angle_beta 90.00
_cell_angle_gamma 90.00
_space_group_name_H-M_alt 'P m -3 m'
_space_group_IT_number 221
_space_group_name_Hall '-P 4 2 3'
loop_
_atom_site_label
_atom_site_type_symbol
_atom_site_fract_x
_atom_site_fract_y
_atom_site_fract_z
Al1 Al 0.0000 0.0000 0.0000
Pt1 Pt 0.5000 0.5000 0.5000
Rh1 Rh 0.0000 0.0000 0.5000
```



First-principles (PBE-GGA) data for an optimized crystal structure of Al2PtRh, as listed in the Alexandria database.

## Properties
The formation energy comes out at -0.5144 eV per atom. The value obtained for the total DFT energy (no corrections) is -5.73 eV/atom. Its total moment is 0.00 μB/f.u.

Cell and atoms, written as CIF:
```
data_Al2PtRh
_chemical_formula_sum 'Al8 Pt4 Rh4'
_cell_length_a 6.6744
_cell_length_b 6.6744
_cell_length_c 5.7195
_cell_angle_alpha 90.00
_cell_angle_beta 90.00
_cell_angle_gamma 90.00
_space_group_name_H-M_alt 'I -4 2 d'
_space_group_IT_number 122
_space_group_name_Hall 'I -4 2bw'
loop_
_atom_site_label
_atom_site_type_symbol
_atom_site_fract_x
_atom_site_fract_y
_atom_site_fract_z
Al1 Al 0.2480 0.2500 0.1250
Pt1 Pt 0.0000 0.0000 0.5000
Rh1 Rh 0.0000 0.0000 0.0000
```



First-principles (PBE-GGA) data for an optimized crystal structure of Al6PtRh5, as listed in the Alexandria database.

## Properties
The formation energy comes out at -1.0604 eV per atom. The value obtained for the total DFT energy (no corrections) is -6.50 eV/atom. Its total moment is 0.00 μB/f.u.

Cell and atoms, written as CIF:
```
data_Al6PtRh5
_chemical_formula_sum 'Al12 Pt2 Rh10'
_cell_length_a 4.1626
_cell_length_b 12.4818
_cell_length_c 6.3536
_cell_angle_alpha 90.00
_cell_angle_beta 90.00
_cell_angle_gamma 90.00
_space_group_name_H-M_alt 'C m m m'
_space_group_IT_number 65
_space_group_name_Hall '-C 2 2'
loop_
_atom_site_label
_atom_site_type_symbol
_atom_site_fract_x
_atom_site_fract_y
_atom_site_fract_z
Al1 Al 0.0000 0.0000 0.2432
Al2 Al 0.0000 0.3315 0.2466
Pt1 Pt 0.0000 0.5000 0.5000
Rh1 Rh 0.0000 0.1660 0.0000
Rh2 Rh 0.0000 0.1657 0.5000
Rh3 Rh 0.0000 0.5000 0.0000
```



First-principles (PBE-GGA) data for an optimized crystal structure of Al4PtRh3, as listed in the Alexandria database.

## Properties
The formation energy comes out at -1.0452 eV per atom. The value obtained for the total DFT energy (no corrections) is -6.43 eV/atom. Its total moment is 0.00 μB/f.u.

Cell and atoms, written as CIF:
```
data_Al4PtRh3
_chemical_formula_sum 'Al4 Pt1 Rh3'
_cell_length_a 2.9729
_cell_length_b 2.9729
_cell_length_c 12.5411
_cell_angle_alpha 90.00
_cell_angle_beta 90.00
_cell_angle_gamma 90.00
_space_group_name_H-M_alt 'P 4/m m m'
_space_group_IT_number 123
_space_group_name_Hall '-P 4 2'
loop_
_atom_site_label
_atom_site_type_symbol
_atom_site_fract_x
_atom_site_fract_y
_atom_site_fract_z
Al1 Al 0.0000 0.0000 0.1225
Al2 Al 0.0000 0.0000 0.3680
Pt1 Pt 0.5000 0.5000 0.5000
Rh1 Rh 0.5000 0.5000 0.0000
Rh2 Rh 0.5000 0.5000 0.2446
```



First-principles (PBE-GGA) data for an optimized crystal structure of Al2PtRh, as listed in the Alexandria database.

## Properties
The formation energy comes out at -0.4719 eV per atom. The value obtained for the total DFT energy (no corrections) is -5.69 eV/atom. Its total moment is 0.02 μB/f.u.

Cell and atoms, written as CIF:
```
data_Al2PtRh
_chemical_formula_sum 'Al6 Pt3 Rh3'
_cell_length_a 2.8823
_cell_length_b 2.8823
_cell_length_c 25.2062
_cell_angle_alpha 90.00
_cell_angle_beta 90.00
_cell_angle_gamma 120.00
_space_group_name_H-M_alt 'R 3 m'
_space_group_IT_number 160
_space_group_name_Hall 'R 3 -2"'
loop_
_atom_site_label
_atom_site_type_symbol
_atom_site_fract_x
_atom_site_fract_y
_atom_site_fract_z
Al1 Al 0.0000 0.0000 0.0000
Al2 Al 0.0000 0.0000 0.2441
Pt1 Pt 0.0000 0.0000 0.7440
Rh1 Rh 0.0000 0.0000 0.5039
```



First-principles (PBE-GGA) data for an optimized crystal structure of AlPt6Rh2, as listed in the Alexandria database.

## Properties
The formation energy comes out at -0.1262 eV per atom. The value obtained for the total DFT energy (no corrections) is -6.20 eV/atom. Its total moment is 0.00 μB/f.u.

Cell and atoms, written as CIF:
```
data_AlPt6Rh2
_chemical_formula_sum 'Al4 Pt24 Rh8'
_cell_length_a 14.4454
_cell_length_b 7.2915
_cell_length_c 5.5207
_cell_angle_alpha 90.00
_cell_angle_beta 93.37
_cell_angle_gamma 90.00
_space_group_name_H-M_alt 'C 1 2/c 1'
_space_group_IT_number 15
loop_
_space_group_symop_operation_xyz
'x,y,z'
'-x,-y,-z'
'-x,y,-z+1/2'
'x,-y,z+1/2'
'x+1/2,y+1/2,z'
'-x+1/2,-y+1/2,-z'
'-x+1/2,y+1/2,-z+1/2'
'x+1/2,-y+1/2,z+1/2'
loop_
_atom_site_label
_atom_site_type_symbol
_atom_site_fract_x
_atom_site_fract_y
_atom_site_fract_z
Al1 Al 0.0000 0.0011 0.2500
Pt1 Pt 0.0806 0.4999 0.3651
Pt2 Pt 0.1292 0.1873 0.0859
Pt3 Pt 0.1289 0.1870 0.5860
Rh1 Rh 0.2395 0.5003 0.1447
```



First-principles (PBE-GGA) data for an optimized crystal structure of AlPtRh4, as listed in the Alexandria database.

## Properties
The formation energy comes out at 0.1320 eV per atom. The value obtained for the total DFT energy (no corrections) is -6.40 eV/atom. Its total moment is 1.09 μB/f.u. For the offset from the most stable computed form, the calculation gives 452 meV/atom.

Cell and atoms, written as CIF:
```
data_AlPtRh4
_chemical_formula_sum 'Al4 Pt4 Rh16'
_cell_length_a 7.1924
_cell_length_b 7.1924
_cell_length_c 7.1924
_cell_angle_alpha 90.00
_cell_angle_beta 90.00
_cell_angle_gamma 90.00
_space_group_name_H-M_alt 'F -4 3 m'
_space_group_IT_number 216
_space_group_name_Hall 'F -4 2 3'
loop_
_atom_site_label
_atom_site_type_symbol
_atom_site_fract_x
_atom_site_fract_y
_atom_site_fract_z
Al1 Al 0.0000 0.0000 0.0000
Pt1 Pt 0.2500 0.2500 0.7500
Rh1 Rh 0.1249 0.1249 0.3751
```



First-principles (PBE-GGA) data for an optimized crystal structure of ScAlPtRh2, as listed in the Alexandria database.

## Properties
The formation energy comes out at -0.2808 eV per atom. The value obtained for the total DFT energy (no corrections) is -6.44 eV/atom. Its total moment is 0.00 μB/f.u. For the offset from the most stable computed form, the calculation gives 0 meV/atom.

Cell and atoms, written as CIF:
```
data_ScAlPtRh2
_chemical_formula_sum 'Sc1 Al1 Pt1 Rh2'
_cell_length_a 4.4562
_cell_length_b 4.4562
_cell_length_c 4.5105
_cell_angle_alpha 90.00
_cell_angle_beta 90.00
_cell_angle_gamma 90.00
_space_group_name_H-M_alt 'P 4/m m m'
_space_group_IT_number 123
_space_group_name_Hall '-P 4 2'
loop_
_atom_site_label
_atom_site_type_symbol
_atom_site_fract_x
_atom_site_fract_y
_atom_site_fract_z
Sc1 Sc 0.0000 0.0000 0.0000
Al1 Al 0.5000 0.5000 0.5000
Pt1 Pt 0.5000 0.5000 0.0000
Rh1 Rh 0.0000 0.5000 0.5000
```



Please write out number 6 again, unchanged.
First-principles (PBE-GGA) data for an optimized crystal structure of Al2PtRh, as listed in the Alexandria database.

## Properties
The formation energy comes out at -0.5144 eV per atom. The value obtained for the total DFT energy (no corrections) is -5.73 eV/atom. Its total moment is 0.00 μB/f.u.

Cell and atoms, written as CIF:
```
data_Al2PtRh
_chemical_formula_sum 'Al8 Pt4 Rh4'
_cell_length_a 6.6744
_cell_length_b 6.6744
_cell_length_c 5.7195
_cell_angle_alpha 90.00
_cell_angle_beta 90.00
_cell_angle_gamma 90.00
_space_group_name_H-M_alt 'I -4 2 d'
_space_group_IT_number 122
_space_group_name_Hall 'I -4 2bw'
loop_
_atom_site_label
_atom_site_type_symbol
_atom_site_fract_x
_atom_site_fract_y
_atom_site_fract_z
Al1 Al 0.2480 0.2500 0.1250
Pt1 Pt 0.0000 0.0000 0.5000
Rh1 Rh 0.0000 0.0000 0.0000
```